1.
! CsAsPb PBE relaxed; values from VASP
&SYSTEM
  ibrav = 0, nat = 3, ntyp = 3
/
ATOMIC_SPECIES
Pb 207.20 Pb.upf
Cs 132.91 Cs.upf
As 74.92 As.upf
ATOMIC_POSITIONS angstrom
Pb 0.0000 0.0000 3.9813
Cs 0.0000 0.0000 0.1290
As 1.9582 1.9582 2.7548
CELL_PARAMETERS angstrom
3.9164 0.0000 0.0000
0.0000 3.9164 0.0000
-1.9582 -1.9582 6.8651
! magnetic moment = 0.0000 μB/atom
! space group = I4mm, No. 107
! ρ = 6.5 g/cm3
! total energy = -3.26 eV/atom
! energy of formation from the pure elements = -0.19 eV per atom

---

2.
! Cr2Sn2Ge PBE relaxed; values from VASP
&SYSTEM
  ibrav = 0, nat = 10, ntyp = 3
/
ATOMIC_SPECIES
Cr 52.00 Cr.upf
Ge 72.64 Ge.upf
Sn 118.71 Sn.upf
ATOMIC_POSITIONS angstrom
Cr -5.7852 1.5986 0.8984
Cr -5.0021 5.0291 0.3824
Cr -1.5933 4.1700 -0.1559
Cr -2.3764 0.7395 0.3601
Ge 0.0000 0.0000 0.0000
Ge -3.6893 2.8843 0.3712
Sn -4.0238 0.7324 2.7785
Sn -5.6739 3.8657 2.7452
Sn -2.6067 5.4731 2.0033
Sn -0.9566 2.3397 2.0366
CELL_PARAMETERS angstrom
-0.9083 6.5588 -0.5411
-6.4702 -0.7902 1.2836
0.7480 0.4368 4.0393
! magnetic moment = 0.8751 μB/atom
! space group = P4/mbm, No. 127
! ρ = 7.5 g/cm3
! total energy = -6.12 eV/atom
! energy of formation from the pure elements = 0.25 eV per atom

---

3.
! Y3ErTm6 PBE relaxed; values from VASP
&SYSTEM
  ibrav = 0, nat = 20, ntyp = 3
/
ATOMIC_SPECIES
Y 88.91 Y.upf
Er 167.26 Er.upf
Tm 168.93 Tm.upf
ATOMIC_POSITIONS angstrom
Y -4.2406 -4.1132 -7.6957
Y -8.6635 -4.2891 -5.1985
Y -3.0465 -4.6168 -1.9037
Y -3.6301 -1.1709 -5.6089
Y -6.3598 0.8800 -0.7541
Y -1.9369 1.0559 -3.2512
Er -5.0887 -5.8529 0.5924
Er -2.4540 0.6290 -8.3119
Tm -2.0377 -4.7244 -5.2097
Tm -5.3984 -3.8983 -4.4285
Tm -6.3285 -6.4937 -2.4918
Tm -5.0887 -1.3277 -9.1427
Tm 0.0924 1.2445 -10.3476
Tm -6.8552 -3.6439 -1.0610
Tm -0.5357 -1.6789 -6.6222
Tm -10.4070 -4.6637 1.9661
Tm -4.5598 -2.5253 0.9203
Tm -3.3200 2.6407 -5.7306
Tm -0.8875 -2.1438 -2.9908
Tm -4.2482 -1.3177 -2.2096
CELL_PARAMETERS angstrom
-5.0131 3.2638 -1.1973
2.6831 0.2548 -10.5395
-6.1841 -8.1101 3.7853
! magnetic moment = 0.0015 μB/atom
! space group = Cmc2_1, No. 36
! ρ = 7.7 g/cm3
! total energy = -4.94 eV/atom
! energy of formation from the pure elements = 0.14 eV per atom

---

4.
! Sn3Pd6Pb PBE relaxed; values from VASP
&SYSTEM
  ibrav = 0, nat = 20, ntyp = 3
/
ATOMIC_SPECIES
Sn 118.71 Sn.upf
Pd 106.42 Pd.upf
Pb 207.20 Pb.upf
ATOMIC_POSITIONS angstrom
Sn -4.6745 -0.0365 7.1051
Sn -8.8572 -0.2177 5.4914
Sn -3.9455 0.6524 3.5515
Sn -6.2853 -2.3064 3.8614
Sn -6.7176 -2.4642 0.1978
Sn -2.5349 -2.2830 1.8115
Pd -2.7852 1.3722 5.9090
Pd -6.2880 0.1664 5.0049
Pd -5.1102 2.8314 4.7456
Pd -5.9814 -2.3409 6.5884
Pd -0.3847 -3.2584 6.6504
Pd -6.4460 1.0187 2.3854
Pd -1.0277 -0.6625 5.2888
Pd -8.5438 2.5539 0.8859
Pd -3.5520 1.1954 0.8905
Pd -4.4233 -3.9769 2.7334
Pd -1.4650 -0.0139 2.6428
Pd -4.9679 -1.2197 1.7387
Pb -3.3734 3.9932 2.3649
Pb -3.0985 -2.9066 5.4042
CELL_PARAMETERS angstrom
-5.8001 -4.2288 -0.5497
1.1369 -2.4597 6.9264
-4.4000 5.8858 1.1469
! magnetic moment = 0.0000 μB/atom
! space group = Cmc2_1, No. 36
! ρ = 10.2 g/cm3
! total energy = -5.09 eV/atom
! energy of formation from the pure elements = -0.40 eV per atom

---

5.
! Cs2CdHg4Au3 PBE relaxed; values from VASP
&SYSTEM
  ibrav = 0, nat = 10, ntyp = 4
/
ATOMIC_SPECIES
Cs 132.91 Cs.upf
Cd 112.41 Cd.upf
Hg 200.59 Hg.upf
Au 196.97 Au.upf
ATOMIC_POSITIONS angstrom
Cs 2.5756 0.0000 2.8380
Cs 0.0000 2.5756 8.8005
Cd 2.5756 2.5756 5.8193
Hg 2.5756 2.5756 0.0000
Hg 0.0000 0.0000 0.0000
Hg 2.5756 0.0000 7.3195
Hg 0.0000 2.5756 4.3190
Au 0.0000 0.0000 5.8193
Au 2.5756 0.0000 10.1827
Au 0.0000 2.5756 1.4558
CELL_PARAMETERS angstrom
5.1511 0.0000 0.0000
0.0000 5.1511 0.0000
0.0000 0.0000 11.6385
! magnetic moment = 0.0000 μB/atom
! space group = P-4m2, No. 115
! ρ = 9.5 g/cm3
! total energy = -1.55 eV/atom
! energy of formation from the pure elements = -0.18 eV per atom

---

6.
! Sr2HPdPt PBE relaxed; values from VASP
&SYSTEM
  ibrav = 0, nat = 5, ntyp = 4
/
ATOMIC_SPECIES
Sr 87.62 Sr.upf
Pd 106.42 Pd.upf
Pt 195.08 Pt.upf
H 1.01 H.upf
ATOMIC_POSITIONS angstrom
Sr 0.3265 -2.5019 0.9685
Sr -1.0373 0.7820 2.3700
Pd 0.9483 -1.2787 3.9190
Pt 1.6592 0.4413 0.5806
H 0.0000 0.0000 0.0000
CELL_PARAMETERS angstrom
-2.0747 1.5640 4.7399
0.6530 -5.0039 1.9369
3.3183 0.8825 1.1612
! magnetic moment = 0.0000 μB/atom
! space group = P4/mmm, No. 123
! ρ = 7.5 g/cm3
! total energy = -4.21 eV/atom

---

7.
! DyBeHg PBE relaxed; values from VASP
&SYSTEM
  ibrav = 0, nat = 6, ntyp = 3
/
ATOMIC_SPECIES
Be 9.01 Be.upf
Hg 200.59 Hg.upf
Dy 162.50 Dy.upf
ATOMIC_POSITIONS angstrom
Be 3.0046 1.9010 0.5174
Be 1.0015 3.8020 7.5120
Hg 3.0046 1.9010 3.1711
Hg 1.0015 3.8020 4.8583
Dy 3.0046 1.9010 6.4574
Dy 1.0015 3.8020 1.5720
CELL_PARAMETERS angstrom
4.0062 0.0000 0.0000
0.0000 3.8020 0.0000
0.0000 1.9010 8.0294
! magnetic moment = 0.0000 μB/atom
! space group = Cmcm, No. 63
! ρ = 10.1 g/cm3
! total energy = -3.08 eV/atom
! energy of formation from the pure elements = -0.21 eV per atom

---

8.
! TaPSe2 PBE relaxed; values from VASP
&SYSTEM
  ibrav = 0, nat = 4, ntyp = 3
/
ATOMIC_SPECIES
Ta 180.95 Ta.upf
P 30.97 P.upf
Se 78.96 Se.upf
ATOMIC_POSITIONS angstrom
Ta 1.8445 1.8445 2.7989
P 0.0000 0.0000 2.7989
Se 0.0000 1.8445 0.0000
Se 1.8445 0.0000 0.0000
CELL_PARAMETERS angstrom
3.6891 0.0000 0.0000
0.0000 3.6891 0.0000
0.0000 0.0000 5.5979
! magnetic moment = 0.0000 μB/atom
! space group = P4/mmm, No. 123
! ρ = 8.1 g/cm3
! total energy = -5.61 eV/atom
! formation energy from raw total energies = 172 kJ/mol of formula units